Here is a relaxed structure of ZrTa2 from Alexandria. Energies are from PBE.

The total energy comes out at -10.520 eV/atom. The value obtained for the total magnetization is 0.0 Bohr magnetons per cell. For the volume, the calculation gives 60.0 Å³/f.u. The calculation puts the energy above the most stable polymorph in this dataset at 196 meV per atom.

The space group is I4_1/amd (No. 141, origin choice 2) and the conventional cell measures 4.060, 4.060 and 29.092 Å, with angles of 90.00, 90.00 and 90.00 degrees. The inequivalent atoms are Zr at (0.000, 0.250, 0.291), Ta at (0.000, 0.250, 0.124) and Ta at (0.000, 0.250, 0.798).